1.
# LaSbTe2O

A relaxed LaSbTe2O crystal (PBE, Alexandria).

Unit cell a=4.264 b=4.264 c=15.805 alpha=90.00 beta=90.00 gamma=90.00
Fractional coordinates of all 10 atoms:
La 0.500 0.000 0.574
La 0.000 0.500 0.426
Sb 0.500 0.000 0.136
Sb 0.000 0.500 0.864
Te 0.000 0.500 0.687
Te 0.000 0.500 0.098
Te 0.500 0.000 0.902
Te 0.500 0.000 0.313
O 0.000 0.000 0.500
O 0.500 0.500 0.500

Output
**Symmetry**: P4/nmm
**N(E_F)**: 0.2 states/eV/cell
**Crystal system**: tetragonal

***

2.
# LaSbTe2O

A relaxed LaSbTe2O crystal (PBE, Alexandria).

Unit cell a=5.034 b=5.034 c=4.782 alpha=90.00 beta=90.00 gamma=90.00
Fractional coordinates of all 5 atoms:
Sb 0.000 0.000 0.500
Te 0.000 0.500 0.000
Te 0.500 0.000 0.000
O 0.000 0.000 0.000
La 0.500 0.500 0.500

Output
**Symmetry**: P4/mmm
**N(E_F)**: 1.5 states/eV/cell
**Crystal system**: tetragonal

***

Quick ranking, most stable first: 1, 2.